# PuCdCoO6

PuCdCoO6 after structural relaxation (PBE+U, the Alexandria database).

Properties
Total energy = -7.173 eV/atom
SG = P-31c

Unit cell a=5.134 b=5.134 c=10.026 alpha=90.00 beta=90.00 gamma=120.00
Each line ends with the local moment (μB).
Sites, in units of the cell vectors:
Pu1 0.333 0.667 0.250  1.45
Pu2 0.667 0.333 0.750  1.45
Cd1 0.000 0.000 0.000  -0.01
Cd2 0.000 0.000 0.500  -0.01
Co1 0.667 0.333 0.250  -0.04
Co2 0.333 0.667 0.750  -0.04
O1 0.648 0.635 0.142  -0.07
O2 0.986 0.352 0.142  -0.07
O3 0.352 0.986 0.642  -0.07
O4 0.014 0.648 0.858  -0.07
O5 0.365 0.352 0.358  -0.07
O6 0.986 0.635 0.358  -0.07
O7 0.635 0.986 0.858  -0.07
O8 0.648 0.014 0.358  -0.07
O9 0.014 0.365 0.642  -0.07
O10 0.365 0.014 0.142  -0.07
O11 0.635 0.648 0.642  -0.07
O12 0.352 0.365 0.858  -0.07